[1]
VASP calculation (PBE) on a relaxed Tb4Bi crystal.

- density (g/cm³) = 7.07
- Fermi-level density of states (states/eV/atom) = 2.08
- energy of formation from the pure elements (meV/atom) = 296.7

Unit cell a=5.833 b=5.833 c=5.833 alpha=90.00 beta=90.00 gamma=90.00
Space group Pm-3m (No. 221)
Asymmetric unit:
Tb: 0.000 0.000 0.000 (multiplicity 1)
Tb: 0.000 0.500 0.500 (multiplicity 3)
Bi: 0.500 0.500 0.500 (multiplicity 1)



[2]
VASP calculation (PBE) on a relaxed Nb2Ge2H crystal.

- offset from the most stable computed form (meV/atom) = 0.0
- density (g/cm³) = 7.26
- Fermi-level density of states (states/eV/atom) = 1.08

Unit cell a=5.976 b=5.976 c=4.253 alpha=90.00 beta=90.00 gamma=90.00
Space group P4/mbm (No. 127)
Asymmetric unit:
Nb: 0.173 0.327 0.000 (multiplicity 4)
Ge: 0.149 0.649 0.500 (multiplicity 4)
H: 0.000 0.000 0.000 (multiplicity 2)



[3]
VASP calculation (PBE) on a relaxed FeB3Cl crystal.

- offset from the most stable computed form (meV/atom) = 0.0
- density (g/cm³) = 3.39
- Fermi-level density of states (states/eV/atom) = 0.58

Unit cell a=3.927 b=3.927 c=3.927 alpha=90.00 beta=90.00 gamma=90.00
Space group Pm-3m (No. 221)
Asymmetric unit:
Fe: 0.000 0.000 0.000 (multiplicity 1)
B: 0.000 0.000 0.500 (multiplicity 3)
Cl: 0.500 0.500 0.500 (multiplicity 1)



[4]
VASP calculation (PBE) on a relaxed CsMgMn2Br8 crystal.

- E_tot (eV/atom) = -3.8928
- density (g/cm³) = 3.65
- Fermi-level density of states (states/eV/atom) = 1.02

Unit cell a=6.9214 b=6.9214 c=9.9482 alpha=90.00 beta=90.00 gamma=120.00
Space group P-3 (No. 147)
Asymmetric unit:
Cs: 0.0000 0.0000 0.0000 (multiplicity 1)
Mg: 0.0000 0.0000 0.5000 (multiplicity 1)
Mn: 0.3333 0.6667 0.7242 (multiplicity 2)
Br: 0.0026 0.6852 0.3395 (multiplicity 6)
Br: 0.3333 0.6667 0.9650 (multiplicity 2)



[5]
VASP calculation (PBE) on a relaxed Sm5IrS4 crystal.

- E_tot (eV/atom) = -6.6214
- density (g/cm³) = 7.60
- Fermi-level density of states (states/eV/atom) = 0.48

Unit cell a=4.043 b=4.043 c=28.648 alpha=90.00 beta=90.00 gamma=90.00
Space group I4/mmm (No. 139)
Asymmetric unit:
Sm: 0.000 0.000 0.000 (multiplicity 2)
Sm: 0.000 0.000 0.203 (multiplicity 4)
Sm: 0.000 0.000 0.402 (multiplicity 4)
Ir: 0.000 0.000 0.500 (multiplicity 2)
S: 0.000 0.000 0.103 (multiplicity 4)
S: 0.000 0.000 0.302 (multiplicity 4)



[6]
VASP calculation (PBE) on a relaxed CePrZn2In2 crystal.

- density (g/cm³) = 7.20
- Fermi-level density of states (states/eV/atom) = 1.30
- energy of formation from the pure elements (meV/atom) = -390.0

Unit cell a=4.7795 b=4.7795 c=7.4746 alpha=90.00 beta=90.00 gamma=120.00
Space group P-3m1 (No. 164)
Asymmetric unit:
Ce: 0.0000 0.0000 0.0000 (multiplicity 1)
Pr: 0.0000 0.0000 0.5000 (multiplicity 1)
Zn: 0.3333 0.6667 0.2227 (multiplicity 2)
In: 0.3333 0.6667 0.7645 (multiplicity 2)



[7]
VASP calculation (PBE) on a relaxed NdTmGaAg crystal.

- density (g/cm³) = 8.34
- Fermi-level density of states (states/eV/atom) = 0.83
- energy of formation from the pure elements (meV/atom) = -426.3

Unit cell a=7.312 b=7.312 c=7.312 alpha=90.00 beta=90.00 gamma=90.00
Space group F-43m (No. 216)
Asymmetric unit:
Nd: 0.000 0.000 0.000 (multiplicity 4)
Tm: 0.000 0.000 0.500 (multiplicity 4)
Ga: 0.250 0.250 0.750 (multiplicity 4)
Ag: 0.250 0.250 0.250 (multiplicity 4)



[8]
VASP calculation (PBE) on a relaxed Be2SnC crystal.

- offset from the most stable computed form (meV/atom) = 1231.6
- density (g/cm³) = 4.80
- Fermi-level density of states (states/eV/atom) = 0.50
- energy of formation from the pure elements (meV/atom) = 1623.9

Unit cell a=5.905 b=5.905 c=5.905 alpha=90.00 beta=90.00 gamma=90.00
Space group Fm-3m (No. 225)
Asymmetric unit:
Be: 0.250 0.250 0.250 (multiplicity 8)
Sn: 0.000 0.000 0.000 (multiplicity 4)
C: 0.000 0.000 0.500 (multiplicity 4)



[9]
VASP calculation (PBE) on a relaxed Hf2ZnSn2 crystal.

- offset from the most stable computed form (meV/atom) = 354.9
- density (g/cm³) = 9.21
- Fermi-level density of states (states/eV/atom) = 0.85
- energy of formation from the pure elements (meV/atom) = 248.4

Unit cell a=4.013 b=4.013 c=14.781 alpha=90.00 beta=90.00 gamma=90.00
Space group I4/mmm (No. 139)
Asymmetric unit:
Hf: 0.000 0.000 0.097 (multiplicity 4)
Zn: 0.000 0.000 0.500 (multiplicity 2)
Sn: 0.000 0.500 0.250 (multiplicity 4)



[10]
VASP calculation (PBE) on a relaxed ZrCrS2N crystal.

- offset from the most stable computed form (meV/atom) = 413.6
- density (g/cm³) = 3.50
- Fermi-level density of states (states/eV/atom) = 0.79

Unit cell a=5.045 b=5.045 c=4.127 alpha=90.00 beta=90.00 gamma=90.00
Space group P4/mmm (No. 123)
Asymmetric unit:
Zr: 0.000 0.000 0.000 (multiplicity 1)
Cr: 0.500 0.500 0.500 (multiplicity 1)
S: 0.000 0.500 0.000 (multiplicity 2)
N: 0.000 0.000 0.500 (multiplicity 1)



[11]
VASP calculation (PBE) on a relaxed Np2IrPt crystal.

- density (g/cm³) = 19.22
- Fermi-level density of states (states/eV/atom) = 1.11
- energy of formation from the pure elements (meV/atom) = 12.0

Unit cell a=2.8247 b=2.8247 c=32.3027 alpha=90.00 beta=90.00 gamma=120.00
Space group R-3m (No. 166, hexagonal axes)
Asymmetric unit:
Np: 0.0000 0.0000 0.0884 (multiplicity 6)
Ir: 0.0000 0.0000 0.5000 (multiplicity 3)
Pt: 0.0000 0.0000 0.0000 (multiplicity 3)



[12]
VASP calculation (PBE) on a relaxed Pu5NpRu6 crystal.

- density (g/cm³) = 14.96
- Fermi-level density of states (states/eV/atom) = 3.31
- energy of formation from the pure elements (meV/atom) = -41.8

Unit cell a=4.790 b=6.736 c=7.338 alpha=89.60 beta=75.30 gamma=89.68
Space group P-1 (No. 2)
Asymmetric unit:
Pu: 0.000 0.000 0.000 (multiplicity 1)
Pu: 0.363 0.998 0.340 (multiplicity 2)
Pu: 0.364 0.498 0.349 (multiplicity 2)
Np: 0.000 0.500 0.000 (multiplicity 1)
Ru: 0.105 0.752 0.694 (multiplicity 2)
Ru: 0.106 0.248 0.694 (multiplicity 2)
Ru: 0.499 0.262 0.000 (multiplicity 2)



[13]
VASP calculation (PBE) on a relaxed TlCu2Rh2 crystal.

- offset from the most stable computed form (meV/atom) = 0.0
- density (g/cm³) = 11.35
- Fermi-level density of states (states/eV/atom) = 1.08
- energy of formation from the pure elements (meV/atom) = 210.2

Unit cell a=7.130 b=7.130 c=3.093 alpha=90.00 beta=90.00 gamma=90.00
Space group P4/mbm (No. 127)
Asymmetric unit:
Tl: 0.000 0.000 0.000 (multiplicity 2)
Cu: 0.160 0.340 0.500 (multiplicity 4)
Rh: 0.134 0.634 0.000 (multiplicity 4)